(1)
A plane-wave DFT calculation with PBE was carried out for crystalline UPa2Mn2C4 at its relaxed geometry.

```
UPa2Mn2C4
1.0
-2.381 0.786 2.037
-3.223 -2.980 -5.178
1.757 -4.155 3.656
Pa C Mn U
2 4 2 1
Direct
0.131 0.261 0.532 Pa
0.869 0.739 0.468 Pa
0.230 0.459 0.215 C
0.460 0.920 0.262 C
0.540 0.080 0.738 C
0.770 0.541 0.785 C
0.319 0.638 0.989 Mn
0.681 0.362 0.011 Mn
0.000 0.000 0.000 U
```

- energy of formation (kcal/mol of atoms) = -3.753

***

(2)
A plane-wave DFT calculation with PBE was carried out for crystalline PaMnVC3 at its relaxed geometry.

```
PaMnVC3
1.0
3.110 0.000 0.000
0.000 5.664 -0.385
0.000 -2.554 7.848
C V Mn Pa
6 2 2 2
Direct
0.250 0.039 0.843 C
0.250 0.470 0.832 C
0.750 0.961 0.157 C
0.750 0.231 0.509 C
0.250 0.769 0.491 C
0.750 0.530 0.168 C
0.750 0.291 0.917 V
0.250 0.709 0.083 V
0.750 0.855 0.380 Mn
0.250 0.145 0.620 Mn
0.250 0.307 0.287 Pa
0.750 0.693 0.713 Pa
```

- energy of formation (kcal/mol of atoms) = -6.327

***

(3)
A plane-wave DFT calculation with PBE was carried out for crystalline Y2PaMnC4 at its relaxed geometry.

```
Y2PaMnC4
1.0
-0.370 -0.872 3.307
5.667 -1.260 -1.487
3.304 10.998 3.272
Y C Pa Mn
4 8 2 2
Direct
0.367 0.735 0.546 Y
0.633 0.265 0.046 Y
0.633 0.265 0.454 Y
0.367 0.735 0.954 Y
0.725 0.450 0.860 C
0.275 0.550 0.360 C
0.725 0.450 0.640 C
0.275 0.550 0.140 C
0.000 0.000 0.500 C
0.576 0.152 0.250 C
0.000 0.000 0.000 C
0.424 0.848 0.750 C
0.912 0.824 0.250 Pa
0.088 0.176 0.750 Pa
0.172 0.345 0.250 Mn
0.828 0.655 0.750 Mn
```

- energy of formation (kcal/mol of atoms) = -1.495

***

(4)
A plane-wave DFT calculation with PBE was carried out for crystalline YPaMnC3 at its relaxed geometry.

```
YPaMnC3
1.0
3.511 0.000 0.000
0.000 7.135 1.496
0.000 -1.932 7.014
C Y Pa Mn
6 2 2 2
Direct
0.750 0.405 0.136 C
0.750 0.154 0.513 C
0.250 0.126 0.838 C
0.250 0.846 0.487 C
0.250 0.595 0.864 C
0.750 0.874 0.162 C
0.250 0.151 0.176 Y
0.750 0.849 0.824 Y
0.250 0.629 0.184 Pa
0.750 0.371 0.816 Pa
0.250 0.090 0.587 Mn
0.750 0.910 0.413 Mn
```

- energy of formation (kcal/mol of atoms) = -3.797

***

(5)
A plane-wave DFT calculation with PBE was carried out for crystalline Zr2PaMnC4 at its relaxed geometry.

```
Zr2PaMnC4
1.0
3.325 0.000 0.000
-1.662 5.656 0.000
0.000 0.000 11.197
Mn Pa Zr C
2 2 4 8
Direct
0.838 0.676 0.750 Mn
0.162 0.324 0.250 Mn
0.098 0.196 0.750 Pa
0.902 0.804 0.250 Pa
0.369 0.737 0.545 Zr
0.631 0.263 0.045 Zr
0.369 0.737 0.955 Zr
0.631 0.263 0.455 Zr
0.268 0.536 0.128 C
0.000 0.000 0.500 C
0.000 0.000 0.000 C
0.732 0.464 0.872 C
0.268 0.536 0.372 C
0.732 0.464 0.628 C
0.569 0.138 0.250 C
0.431 0.862 0.750 C
```

- energy of formation (kcal/mol of atoms) = -9.717

***

(6)
A plane-wave DFT calculation with PBE was carried out for crystalline MnPbC3 at its relaxed geometry.

```
MnPbC3
1.0
4.365 0.000 0.000
0.000 4.365 0.000
0.000 0.000 4.365
C Mn Pb
3 1 1
Direct
0.000 0.500 0.000 C
0.000 0.000 0.500 C
0.500 0.000 0.000 C
0.500 0.500 0.500 Mn
0.000 0.000 0.000 Pb
```

- ΔE to the lowest computed polymorph (meV/atom) = 2112.7
- energy of formation (kcal/mol of atoms) = 89.604

***

(7)
A plane-wave DFT calculation with PBE was carried out for crystalline Mn2PbC at its relaxed geometry.

```
Mn2PbC
1.0
-4.645 -0.850 4.115
-1.982 -4.966 -3.263
-1.499 -4.730 2.098
Pb Mn C
2 4 2
Direct
0.750 0.250 0.500 Pb
0.000 0.000 0.000 Pb
0.495 0.125 0.250 Mn
0.375 0.505 0.750 Mn
0.255 0.625 0.250 Mn
0.875 0.745 0.750 Mn
0.250 0.750 0.500 C
0.500 0.500 0.000 C
```

- energy of formation (kcal/mol of atoms) = 12.006

***

(8)
A plane-wave DFT calculation with PBE was carried out for crystalline MnPbC3 at its relaxed geometry.

```
MnPbC3
1.0
3.926 0.000 0.000
0.000 3.926 0.000
0.000 0.000 3.926
C Pb Mn
3 1 1
Direct
0.000 0.000 0.500 C
0.500 0.000 0.000 C
0.000 0.500 0.000 C
0.500 0.500 0.500 Pb
0.000 0.000 0.000 Mn
```

- ΔE to the lowest computed polymorph (meV/atom) = 0.0
- energy of formation (kcal/mol of atoms) = 40.883

***

(9)
A plane-wave DFT calculation with PBE was carried out for crystalline Mn2PbC at its relaxed geometry.

```
Mn2PbC
1.0
0.000 2.967 2.967
2.967 0.000 2.967
2.967 2.967 0.000
Pb C Mn
1 1 2
Direct
0.500 0.500 0.500 Pb
0.000 0.000 0.000 C
0.250 0.250 0.250 Mn
0.750 0.750 0.750 Mn
```

- energy of formation (kcal/mol of atoms) = 40.799

***

(10)
A plane-wave DFT calculation with PBE was carried out for crystalline MnPb2C at its relaxed geometry.

```
MnPb2C
1.0
6.979 0.000 0.000
0.000 6.979 0.000
3.490 3.490 3.538
Mn Pb C
2 4 2
Direct
0.750 0.250 0.500 Mn
0.000 0.000 0.000 Mn
0.565 0.125 0.250 Pb
0.375 0.435 0.750 Pb
0.185 0.625 0.250 Pb
0.875 0.815 0.750 Pb
0.500 0.500 0.000 C
0.250 0.750 0.500 C
```

- energy of formation (kcal/mol of atoms) = 28.236

***

(11)
A plane-wave DFT calculation with PBE was carried out for crystalline MnRe2PbC at its relaxed geometry.

```
MnRe2PbC
1.0
5.087 0.000 0.000
0.000 4.158 0.000
0.000 0.000 5.087
Pb Re C Mn
1 2 1 1
Direct
0.000 0.000 0.000 Pb
0.000 0.000 0.500 Re
0.500 0.000 0.000 Re
0.000 0.500 0.000 C
0.500 0.500 0.500 Mn
```

- energy of formation (kcal/mol of atoms) = 89.137

***

(12)
A plane-wave DFT calculation with PBE was carried out for crystalline Sc2MnPbC at its relaxed geometry.

```
Sc2MnPbC
1.0
-2.315 2.022 -3.487
3.122 -1.643 -3.026
-2.126 -3.210 -0.450
Sc C Pb Mn
2 1 1 1
Direct
0.500 0.000 0.000 Sc
0.000 0.500 0.000 Sc
0.000 0.000 0.000 C
0.500 0.500 0.500 Pb
0.000 0.000 0.500 Mn
```

- energy of formation (kcal/mol of atoms) = -8.174